Record 1
# Pa2Mn4Ge3H2 | the Alexandria database | PBE | relaxed
data_Pa2Mn4Ge3H2
_chemical_formula_sum 'Pa4 Mn8 Ge6 H4'
_space_group_name_H-M_alt 'I 4/m m m'
_space_group_IT_number 139
_space_group_name_Hall '-I 4 2'
_cell_length_a 3.9869
_cell_length_b 3.9869
_cell_length_c 20.0909
_cell_angle_alpha 90.00
_cell_angle_beta 90.00
_cell_angle_gamma 90.00
loop_
_atom_site_label
_atom_site_type_symbol
_atom_site_fract_x
_atom_site_fract_y
_atom_site_fract_z
Pa1 Pa 0.0000 0.0000 0.1919
Mn1 Mn 0.0000 0.5000 0.0745
Ge1 Ge 0.0000 0.0000 0.3424
Ge2 Ge 0.0000 0.0000 0.5000
H1 H 0.0000 0.0000 0.0748
# - theoretical density (g/cm3) = 9.38
# - uncorrected energy (eV/f.u.) = -78.12

---

Record 2
# NpGaIr2 | the Alexandria database | PBE | relaxed
data_NpGaIr2
_chemical_formula_sum 'Np1 Ga1 Ir2'
_space_group_name_H-M_alt 'P 4/m m m'
_space_group_IT_number 123
_space_group_name_Hall '-P 4 2'
_cell_length_a 3.0120
_cell_length_b 3.0120
_cell_length_c 7.2984
_cell_angle_alpha 90.00
_cell_angle_beta 90.00
_cell_angle_gamma 90.00
loop_
_atom_site_label
_atom_site_type_symbol
_atom_site_fract_x
_atom_site_fract_y
_atom_site_fract_z
Np1 Np 0.0000 0.0000 0.0000
Ga1 Ga 0.0000 0.0000 0.5000
Ir1 Ir 0.5000 0.5000 0.2837
# - theoretical density (g/cm3) = 17.33
# - formation energy (eV/atom) = -0.335
# - uncorrected energy (eV/f.u.) = -35.03

---

Record 3
# RbCoHg3 | the Alexandria database | PBE | relaxed
data_RbCoHg3
_chemical_formula_sum 'Rb1 Co1 Hg3'
_space_group_name_H-M_alt 'P m -3 m'
_space_group_IT_number 221
_space_group_name_Hall '-P 4 2 3'
_cell_length_a 5.1812
_cell_length_b 5.1812
_cell_length_c 5.1812
_cell_angle_alpha 90.00
_cell_angle_beta 90.00
_cell_angle_gamma 90.00
loop_
_atom_site_label
_atom_site_type_symbol
_atom_site_fract_x
_atom_site_fract_y
_atom_site_fract_z
Rb1 Rb 0.0000 0.0000 0.0000
Co1 Co 0.5000 0.5000 0.5000
Hg1 Hg 0.0000 0.5000 0.5000
# - theoretical density (g/cm3) = 8.91
# - formation energy (eV/atom) = 0.024
# - ΔE to the lowest computed polymorph (eV/atom) = 0.000
# - uncorrected energy (eV/f.u.) = -8.86

---

Record 4
# HfTaCu | the Alexandria database | PBE | relaxed
data_HfTaCu
_chemical_formula_sum 'Hf1 Ta1 Cu1'
_space_group_name_H-M_alt 'P -6 m 2'
_space_group_IT_number 187
_space_group_name_Hall 'P -6 2'
_cell_length_a 4.5445
_cell_length_b 4.5445
_cell_length_c 3.0187
_cell_angle_alpha 90.00
_cell_angle_beta 90.00
_cell_angle_gamma 120.00
loop_
_atom_site_label
_atom_site_type_symbol
_atom_site_fract_x
_atom_site_fract_y
_atom_site_fract_z
Hf1 Hf 0.0000 0.0000 0.0000
Ta1 Ta 0.6667 0.3333 0.5000
Cu1 Cu 0.3333 0.6667 0.5000
# - theoretical density (g/cm3) = 13.01
# - formation energy (eV/atom) = 0.270
# - ΔE to the lowest computed polymorph (eV/atom) = 0.352
# - uncorrected energy (eV/f.u.) = -25.09

---

> What is the uncorrected energy in the second record?

-35.03 eV/f.u.

---

> Look up the theoretical density of the second one.

17.33 g/cm3

---

> Look up the theoretical density of the fourth one.

13.01 g/cm3